The following is a GGA-PBEsol calculation of a relaxed TlCd2Si crystal, from Alexandria via LeMat-Bulk.

Unit cell a=3.1482 b=3.1482 c=8.7123 alpha=90.00 beta=90.00 gamma=90.00
Closest atoms and distances in Å follow each position.
Fractional positions:
Cd (0.5000, 0.5000, 0.7364)  4 Si 2.90, 8 Cd 3.07-3.15
Cd (0.0000, 0.0000, 0.9794)  8 Cd 3.07-3.15, 4 Tl 3.32
Tl (0.5000, 0.5000, 0.2615)  4 Tl 3.15, 4 Si 3.18, 4 Cd 3.32
Si (0.0000, 0.0000, 0.5227)  4 Cd 2.90, 4 Si 3.15, 4 Tl 3.18

Output
Energy above the most stable polymorph in this dataset (meV/atom): 0.0
Formation energy from raw total energies (kJ per mole of atoms): 26.0
E (eV per cell): -9.7

The following is a GGA-PBEsol calculation of a relaxed TlCd2Si crystal, from Alexandria via LeMat-Bulk.

Unit cell a=4.3896 b=4.3896 c=5.4590 alpha=113.71 beta=113.71 gamma=90.00
Closest atoms and distances in Å follow each position.
Fractional positions:
Tl (0.0000, 0.0000, 0.0000)  4 Si 3.10, 8 Cd 3.14
Cd (0.2500, 0.7500, 0.5000)  4 Cd 3.10, 4 Si 3.14, 4 Tl 3.14
Cd (0.7500, 0.2500, 0.5000)  4 Cd 3.10, 4 Si 3.14, 4 Tl 3.14
Si (0.5000, 0.5000, 0.0000)  4 Tl 3.10, 8 Cd 3.14

Output
Energy above the most stable polymorph in this dataset (meV/atom): 41.5
Formation energy from raw total energies (kJ per mole of atoms): 30.0
E (eV per cell): -9.5

The following is a GGA-PBEsol calculation of a relaxed TlCd2Si crystal, from Alexandria via LeMat-Bulk.

Unit cell a=2.8795 b=5.4418 c=6.4230 alpha=114.81 beta=102.95 gamma=90.00
Closest atoms and distances in Å follow each position.
Fractional positions:
Cd (0.7235, 0.7239, 0.4469)  6 Cd 2.88-3.14, 2 Si 2.91
Cd (0.2765, 0.2761, 0.5531)  6 Cd 2.88-3.14, 2 Si 2.91
Si (0.0000, 0.5000, 0.0000)  2 Si 2.88, 4 Cd 2.91, 4 Tl 3.08
Tl (0.5000, 0.0000, 0.0000)  2 Tl 2.88, 4 Si 3.08

Output
Energy above the most stable polymorph in this dataset (meV/atom): 15.2
Formation energy from raw total energies (kJ per mole of atoms): 27.5
E (eV per cell): -9.6

The following is a GGA-PBEsol calculation of a relaxed Cd2SiW crystal, from Alexandria via LeMat-Bulk.

Unit cell a=2.7524 b=4.0905 c=6.5308 alpha=90.00 beta=102.22 gamma=90.00
Closest atoms and distances in Å follow each position.
Fractional positions:
Cd (0.9346, 0.0000, 0.9950)  1 Si 2.65, 2 Cd 2.75
Cd (0.5648, 0.5000, 0.2540)  6 Cd 2.75-2.97, 2 Si 2.92, 2 W 3.00
W (0.2732, 0.5000, 0.6711)  4 Si 2.53, 2 W 2.75
Si (0.7274, 0.0000, 0.5799)  4 W 2.53, 1 Cd 2.65, 2 Si 2.75

Output
Formation energy from raw total energies (kJ per mole of atoms): 29.5
E (eV per cell): -20.7

The following is a GGA-PBEsol calculation of a relaxed Cd2SiW crystal, from Alexandria via LeMat-Bulk.

Unit cell a=2.7589 b=5.1062 c=5.1062 alpha=90.00 beta=90.00 gamma=90.00
Closest atoms and distances in Å follow each position.
Fractional positions:
W (0.5000, 0.0000, 0.0000)  2 W 2.76, 8 Cd 2.90
Cd (0.0000, 0.5000, 0.0000)  2 Cd 2.76, 4 W 2.90, 4 Si 2.90
Cd (0.0000, 0.0000, 0.5000)  2 Cd 2.76, 4 W 2.90, 4 Si 2.90
Si (0.5000, 0.5000, 0.5000)  2 Si 2.76, 8 Cd 2.90

Output
Formation energy from raw total energies (kJ per mole of atoms): 72.6
E (eV per cell): -18.9

The following is a GGA-PBEsol calculation of a relaxed Cd2SiW crystal, from Alexandria via LeMat-Bulk.

Unit cell a=2.8253 b=4.5726 c=5.3339 alpha=90.00 beta=90.00 gamma=90.00
Closest atoms and distances in Å follow each position.
Fractional positions:
W (0.0000, 0.5000, 0.5000)  4 Si 2.69, 2 W 2.83
Cd (0.0000, 0.0000, 0.0000)  6 Cd 2.69-2.83
Cd (0.5000, 0.5000, 0.0000)  6 Cd 2.69-2.83
Si (0.5000, 0.0000, 0.5000)  4 W 2.69, 2 Si 2.83

Output
Formation energy from raw total energies (kJ per mole of atoms): 46.5
E (eV per cell): -20.0

The following is a GGA-PBEsol calculation of a relaxed Cd2SiW crystal, from Alexandria via LeMat-Bulk.

Unit cell a=3.6642 b=3.6642 c=5.2508 alpha=90.00 beta=90.00 gamma=90.00
Closest atoms and distances in Å follow each position.
Fractional positions:
Cd (0.0000, 0.0000, 0.2516)  2 Cd 2.61-2.64, 4 W 2.90, 4 Si 2.91
Cd (0.0000, 0.0000, 0.7484)  2 Cd 2.61-2.64, 4 W 2.90, 4 Si 2.91
Si (0.5000, 0.5000, 0.0000)  2 W 2.63, 8 Cd 2.91
W (0.5000, 0.5000, 0.5000)  2 Si 2.63, 8 Cd 2.90

Output
Formation energy from raw total energies (kJ per mole of atoms): 63.9
E (eV per cell): -19.3

The following is a GGA-PBEsol calculation of a relaxed Y2CdSi crystal, from Alexandria via LeMat-Bulk.

Unit cell a=3.4076 b=3.4076 c=8.2070 alpha=90.00 beta=90.00 gamma=89.94
Closest atoms and distances in Å follow each position.
Fractional positions:
Si (0.5000, 0.5000, 0.2762)  4 Cd 2.85, 4 Y 3.06
Y (0.0000, 0.0000, 0.0458)  4 Si 3.06, 4 Y 3.41, 1 Cd 3.41
Y (0.5000, 0.5000, 0.7170)  4 Cd 3.20, 4 Y 3.41
Cd (0.0000, 0.0000, 0.4611)  4 Si 2.85

Output
Formation energy from raw total energies (kJ per mole of atoms): -13.6
E (eV per cell): -21.2

The following is a GGA-PBEsol calculation of a relaxed YCdSi2 crystal, from Alexandria via LeMat-Bulk.

Unit cell a=3.5771 b=3.5771 c=6.1757 alpha=90.00 beta=90.00 gamma=90.00
Closest atoms and distances in Å follow each position.
Fractional positions:
Y (0.5000, 0.5000, 0.0000)  2 Cd 3.09, 8 Si 3.12
Cd (0.5000, 0.5000, 0.5000)  8 Si 2.83, 2 Y 3.09
Si (0.0000, 0.0000, 0.2956)  1 Si 2.52, 4 Cd 2.83
Si (0.0000, 0.0000, 0.7044)  1 Si 2.52, 4 Cd 2.83

Output
Formation energy from raw total energies (kJ per mole of atoms): -11.5
E (eV per cell): -20.0

The following is a GGA-PBEsol calculation of a relaxed Zn3CdSi crystal, from Alexandria via LeMat-Bulk.

Unit cell a=4.6962 b=4.6962 c=4.6962 alpha=90.00 beta=90.00 gamma=90.00
Closest atoms and distances in Å follow each position.
Fractional positions:
Zn (0.0000, 0.5000, 0.0000)  2 Si 2.35
Zn (0.0000, 0.0000, 0.5000)  2 Si 2.35
Zn (0.5000, 0.0000, 0.0000)  2 Si 2.35
Si (0.0000, 0.0000, 0.0000)  6 Zn 2.35
Cd (0.5000, 0.5000, 0.5000)  12 Zn 3.32

Output
Formation energy from raw total energies (kJ per mole of atoms): 42.2
E (eV per cell): -9.5

The following is a GGA-PBEsol calculation of a relaxed ZnCdSi2 crystal, from Alexandria via LeMat-Bulk.

Unit cell a=3.7449 b=3.7449 c=5.5066 alpha=109.88 beta=109.88 gamma=90.00
Closest atoms and distances in Å follow each position.
Fractional positions:
Si (0.2500, 0.7500, 0.5000)  4 Si 2.65
Si (0.7500, 0.2500, 0.5000)  4 Si 2.65
Cd (0.0000, 0.0000, 0.0000)  4 Zn 2.65
Zn (0.5000, 0.5000, 0.0000)  4 Cd 2.65

Output
Formation energy from raw total energies (kJ per mole of atoms): 36.8
E (eV per cell): -12.7

The following is a GGA-PBEsol calculation of a relaxed Zn2CdSi crystal, from Alexandria via LeMat-Bulk.

Unit cell a=2.8674 b=2.8674 c=7.9395 alpha=90.00 beta=90.00 gamma=90.00
Closest atoms and distances in Å follow each position.
Fractional positions:
Zn (0.5000, 0.5000, 0.2275)  8 Zn 2.67-2.87, 4 Cd 2.91
Zn (0.0000, 0.0000, 0.0079)  8 Zn 2.67-2.87, 4 Si 2.75
Si (0.5000, 0.5000, 0.7745)  4 Zn 2.75, 4 Si 2.87, 4 Cd 3.03
Cd (0.0000, 0.0000, 0.4902)  4 Cd 2.87, 4 Zn 2.91, 4 Si 3.03

Output
Formation energy from raw total energies (kJ per mole of atoms): 20.6
E (eV per cell): -9.3

The following is a GGA-PBEsol calculation of a relaxed ZrCd4Si crystal, from Alexandria via LeMat-Bulk.

Unit cell a=5.5956 b=5.5956 c=5.5956 alpha=60.00 beta=60.00 gamma=60.00
Closest atoms and distances in Å follow each position.
Fractional positions:
Cd (0.3748, 0.3748, 0.3748)  6 Cd 2.79-2.80
Cd (0.8756, 0.3748, 0.3748)  6 Cd 2.79-2.80
Cd (0.3748, 0.8756, 0.3748)  6 Cd 2.79-2.80
Cd (0.3748, 0.3748, 0.8756)  6 Cd 2.79-2.80
Zr (0.0000, 0.0000, 0.0000)  12 Cd 3.28, 4 Si 3.43
Si (0.7500, 0.7500, 0.7500)  12 Cd 3.28, 4 Zr 3.43

Output
Formation energy from raw total energies (kJ per mole of atoms): 30.0
E (eV per cell): -17.8

The following is a GGA-PBEsol calculation of a relaxed Zr2CdSi crystal, from Alexandria via LeMat-Bulk.

Unit cell a=2.9972 b=5.0129 c=5.6291 alpha=100.28 beta=90.00 gamma=107.39
Closest atoms and distances in Å follow each position.
Fractional positions:
Zr (0.7380, 0.4760, 0.7311)  3 Si 2.83-3.03, 3 Cd 2.96-3.07, 4 Zr 3.00-3.05
Zr (0.2620, 0.5240, 0.2689)  3 Si 2.83-3.03, 3 Cd 2.96-3.07, 4 Zr 3.00-3.05
Cd (0.5000, 0.0000, 0.0000)  6 Zr 2.96-3.07, 2 Cd 3.00, 4 Si 3.19
Si (0.0000, 0.0000, 0.5000)  6 Zr 2.83-3.03, 2 Si 3.00

Output
Formation energy from raw total energies (kJ per mole of atoms): -13.5
E (eV per cell): -25.7